# 1
# Tb2Al3Ag, optimized geometry, DFT PBE
data_Tb2Al3Ag
_symmetry_space_group_name_H-M 'I m m 2'
_symmetry_Int_Tables_number 44
_symmetry_space_group_name_Hall 'I 2 -2'
_cell_length_a 4.080
_cell_length_b 4.346
_cell_length_c 15.599
_cell_angle_alpha 90.00
_cell_angle_beta 90.00
_cell_angle_gamma 90.00
loop_
_atom_site_label
_atom_site_fract_x
_atom_site_fract_y
_atom_site_fract_z
Tb1 0.000 0.000 0.000
Tb2 0.000 0.500 0.269
Al1 0.000 0.000 0.430
Al2 0.000 0.500 0.676
Al3 0.000 0.500 0.839
Ag1 0.000 0.000 0.593
# Crystal system   orthorhombic
# Total energy   -4.25 eV per atom
# Energy relative to the lowest polymorph listed for this composition   0.093 eV per atom
# ρ   6.1 g/cm³
# Formation energy   -0.36 eV per atom


# 2
# Tb2Al2Ag, optimized geometry, DFT PBE
data_Tb2Al2Ag
_symmetry_space_group_name_H-M 'P 4/m b m'
_symmetry_Int_Tables_number 127
_symmetry_space_group_name_Hall '-P 4 2ab'
_cell_length_a 7.016
_cell_length_b 7.016
_cell_length_c 4.683
_cell_angle_alpha 90.00
_cell_angle_beta 90.00
_cell_angle_gamma 90.00
loop_
_atom_site_label
_atom_site_fract_x
_atom_site_fract_y
_atom_site_fract_z
Tb1 0.168 0.332 0.000
Al1 0.135 0.635 0.500
Ag1 0.000 0.000 0.500
# Crystal system   tetragonal
# Total energy   -4.30 eV per atom
# Energy relative to the lowest polymorph listed for this composition   0.014 eV per atom
# ρ   6.9 g/cm³
# Formation energy   -0.38 eV per atom


# 3
# Tb4AlAg3, optimized geometry, DFT PBE
data_Tb4AlAg3
_symmetry_space_group_name_H-M 'P 4/m m m'
_symmetry_Int_Tables_number 123
_symmetry_space_group_name_Hall '-P 4 2'
_cell_length_a 3.598
_cell_length_b 3.598
_cell_length_c 14.968
_cell_angle_alpha 90.00
_cell_angle_beta 90.00
_cell_angle_gamma 90.00
loop_
_atom_site_label
_atom_site_fract_x
_atom_site_fract_y
_atom_site_fract_z
Tb1 0.000 0.000 0.124
Tb2 0.000 0.000 0.374
Al1 0.500 0.500 0.000
Ag1 0.500 0.500 0.249
Ag2 0.500 0.500 0.500
# Crystal system   tetragonal
# Total energy   -4.19 eV per atom
# Energy relative to the lowest polymorph listed for this composition   0.000 eV per atom
# ρ   8.5 g/cm³
# Formation energy   -0.33 eV per atom